Compound: AlI
Source: Alexandria via LeMat-Bulk
Functional: PBE
Structure: optimized geometry

- formation energy without anion corrections (eV/atom) = 0.021
- final energy (eV/atom) = -2.6253
- magnetization (μB per atom) = 0.0000

Cell and atoms, written as CIF:
```
data_AlI
_cell_length_a 12.909
_cell_length_b 4.896
_cell_length_c 6.398
_cell_angle_alpha 90.00
_cell_angle_beta 90.00
_cell_angle_gamma 90.00
_symmetry_space_group_name_H-M 'P 1'
_symmetry_Int_Tables_number 1
_symmetry_space_group_name_Hall 'P 1'
loop_
_atom_site_label
_atom_site_type_symbol
_atom_site_fract_x
_atom_site_fract_y
_atom_site_fract_z
Al1 Al 0.883 0.000 0.788
Al2 Al 0.117 0.000 0.788
Al3 Al 0.383 0.500 0.288
Al4 Al 0.617 0.500 0.288
Al5 Al 0.000 0.000 0.163
Al6 Al 0.500 0.500 0.663
I1 I 0.743 0.000 0.418
I2 I 0.257 0.000 0.418
I3 I 0.243 0.500 0.918
I4 I 0.757 0.500 0.918
I5 I 0.000 0.500 0.426
I6 I 0.500 0.000 0.926
```


Compound: AlI3
Source: Alexandria via LeMat-Bulk
Functional: PBE
Structure: optimized geometry

- formation energy without anion corrections (eV/atom) = -0.649
- final energy (eV/atom) = -2.7475
- magnetization (μB per atom) = 0.0000

Cell and atoms, written as CIF:
```
data_AlI3
_cell_length_a 6.802
_cell_length_b 10.320
_cell_length_c 12.703
_cell_angle_alpha 71.45
_cell_angle_beta 90.00
_cell_angle_gamma 90.00
_symmetry_space_group_name_H-M 'P 1'
_symmetry_Int_Tables_number 1
_symmetry_space_group_name_Hall 'P 1'
loop_
_atom_site_label
_atom_site_type_symbol
_atom_site_fract_x
_atom_site_fract_y
_atom_site_fract_z
Al1 Al 0.994 0.815 0.046
Al2 Al 0.494 0.185 0.454
Al3 Al 0.006 0.185 0.954
Al4 Al 0.506 0.815 0.546
I1 I 0.209 0.681 0.202
I2 I 0.709 0.319 0.298
I3 I 0.791 0.319 0.798
I4 I 0.291 0.681 0.702
I5 I 0.770 0.693 0.955
I6 I 0.270 0.307 0.545
I7 I 0.230 0.307 0.045
I8 I 0.730 0.693 0.455
I9 I 0.209 0.998 0.892
I10 I 0.709 0.002 0.608
I11 I 0.791 0.002 0.108
I12 I 0.291 0.998 0.392
```


Compound: AlIn3I
Source: Alexandria via LeMat-Bulk
Functional: PBE
Structure: optimized geometry

- formation energy without anion corrections (eV/atom) = 0.738
- final energy (eV/atom) = -1.9635
- magnetization (μB per atom) = 0.0000

Cell and atoms, written as CIF:
```
data_AlIn3I
_cell_length_a 6.238
_cell_length_b 6.238
_cell_length_c 6.238
_cell_angle_alpha 90.00
_cell_angle_beta 90.00
_cell_angle_gamma 90.00
_symmetry_space_group_name_H-M 'P 1'
_symmetry_Int_Tables_number 1
_symmetry_space_group_name_Hall 'P 1'
loop_
_atom_site_label
_atom_site_type_symbol
_atom_site_fract_x
_atom_site_fract_y
_atom_site_fract_z
I1 I 0.000 0.000 0.000
Al1 Al 0.500 0.500 0.500
In1 In 0.000 0.500 0.000
In2 In 0.000 0.000 0.500
In3 In 0.500 0.000 0.000
```


Compound: AlInI3
Source: Alexandria via LeMat-Bulk
Functional: PBE
Structure: optimized geometry

- formation energy without anion corrections (eV/atom) = -0.066
- final energy (eV/atom) = -2.2922
- magnetization (μB per atom) = 0.0000

Cell and atoms, written as CIF:
```
data_AlInI3
_cell_length_a 6.047
_cell_length_b 6.047
_cell_length_c 6.047
_cell_angle_alpha 90.00
_cell_angle_beta 90.00
_cell_angle_gamma 90.00
_symmetry_space_group_name_H-M 'P 1'
_symmetry_Int_Tables_number 1
_symmetry_space_group_name_Hall 'P 1'
loop_
_atom_site_label
_atom_site_type_symbol
_atom_site_fract_x
_atom_site_fract_y
_atom_site_fract_z
I1 I 0.000 0.500 0.000
I2 I 0.000 0.000 0.500
I3 I 0.500 0.000 0.000
Al1 Al 0.500 0.500 0.500
In1 In 0.000 0.000 0.000
```


Compound: AlInI3
Source: Alexandria via LeMat-Bulk
Functional: PBE
Structure: optimized geometry

- formation energy without anion corrections (eV/atom) = -0.341
- final energy (eV/atom) = -2.5671
- magnetization (μB per atom) = 0.0000

Cell and atoms, written as CIF:
```
data_AlInI3
_cell_length_a 5.760
_cell_length_b 5.760
_cell_length_c 5.760
_cell_angle_alpha 90.00
_cell_angle_beta 90.00
_cell_angle_gamma 90.00
_symmetry_space_group_name_H-M 'P 1'
_symmetry_Int_Tables_number 1
_symmetry_space_group_name_Hall 'P 1'
loop_
_atom_site_label
_atom_site_type_symbol
_atom_site_fract_x
_atom_site_fract_y
_atom_site_fract_z
I1 I 0.000 0.500 0.000
I2 I 0.000 0.000 0.500
I3 I 0.500 0.000 0.000
Al1 Al 0.000 0.000 0.000
In1 In 0.500 0.500 0.500
```


Compound: AlInI2
Source: Alexandria via LeMat-Bulk
Functional: PBE
Structure: optimized geometry

- formation energy without anion corrections (eV/atom) = -0.118
- final energy (eV/atom) = -2.5133
- magnetization (μB per atom) = 0.0000

Cell and atoms, written as CIF:
```
data_AlInI2
_cell_length_a 5.845
_cell_length_b 5.845
_cell_length_c 5.845
_cell_angle_alpha 60.00
_cell_angle_beta 60.00
_cell_angle_gamma 60.00
_symmetry_space_group_name_H-M 'P 1'
_symmetry_Int_Tables_number 1
_symmetry_space_group_name_Hall 'P 1'
loop_
_atom_site_label
_atom_site_type_symbol
_atom_site_fract_x
_atom_site_fract_y
_atom_site_fract_z
I1 I 0.250 0.250 0.250
I2 I 0.750 0.750 0.750
Al1 Al 0.000 0.000 0.000
In1 In 0.500 0.500 0.500
```